No. 1
# Mn2TeRu (PBE, optimized geometry)
data_Mn2TeRu
_chemical_formula_sum 'Mn4 Te2 Ru2'
_symmetry_space_group_name_H-M 'C m m m'
_symmetry_Int_Tables_number 65
_symmetry_space_group_name_Hall '-C 2 2'
_cell_length_a 5.317
_cell_length_b 7.191
_cell_length_c 3.285
_cell_angle_alpha 90.00
_cell_angle_beta 90.00
_cell_angle_gamma 90.00
loop_
_atom_site_label
_atom_site_fract_x
_atom_site_fract_y
_atom_site_fract_z
Mn1 0.250 0.250 0.000
Te1 0.000 0.000 0.500
Ru1 0.000 0.500 0.500
# energy relative to the elements, uncorrected = 0.28 eV/atom
# calculated total energy = -7.405 eV per atom
# mass density = 9.0 g/cm³

No. 2
# Mn2TeRu (PBE, optimized geometry)
data_Mn2TeRu
_chemical_formula_sum 'Mn2 Te1 Ru1'
_symmetry_space_group_name_H-M 'P 4/m m m'
_symmetry_Int_Tables_number 123
_symmetry_space_group_name_Hall '-P 4 2'
_cell_length_a 3.840
_cell_length_b 3.840
_cell_length_c 4.028
_cell_angle_alpha 90.00
_cell_angle_beta 90.00
_cell_angle_gamma 90.00
loop_
_atom_site_label
_atom_site_fract_x
_atom_site_fract_y
_atom_site_fract_z
Mn1 0.000 0.500 0.000
Te1 0.000 0.000 0.500
Ru1 0.500 0.500 0.500
# energy relative to the elements, uncorrected = 0.24 eV/atom
# calculated total energy = -7.452 eV per atom
# mass density = 9.5 g/cm³

No. 3
# Mn2TeRu (PBE, optimized geometry)
data_Mn2TeRu
_chemical_formula_sum 'Mn8 Te4 Ru4'
_symmetry_space_group_name_H-M 'F -4 3 m'
_symmetry_Int_Tables_number 216
_symmetry_space_group_name_Hall 'F -4 2 3'
_cell_length_a 6.149
_cell_length_b 6.149
_cell_length_c 6.149
_cell_angle_alpha 90.00
_cell_angle_beta 90.00
_cell_angle_gamma 90.00
loop_
_atom_site_label
_atom_site_fract_x
_atom_site_fract_y
_atom_site_fract_z
Mn1 0.000 0.000 0.000
Mn2 0.250 0.250 0.250
Te1 0.250 0.250 0.750
Ru1 0.000 0.000 0.500
# energy relative to the elements, uncorrected = 0.22 eV/atom
# calculated total energy = -7.468 eV per atom
# mass density = 9.7 g/cm³

No. 4
# MnTeRu (PBE, optimized geometry)
data_MnTeRu
_chemical_formula_sum 'Mn1 Te1 Ru1'
_symmetry_space_group_name_H-M 'P -6 m 2'
_symmetry_Int_Tables_number 187
_symmetry_space_group_name_Hall 'P -6 2'
_cell_length_a 4.3906
_cell_length_b 4.3906
_cell_length_c 3.1556
_cell_angle_alpha 90.00
_cell_angle_beta 90.00
_cell_angle_gamma 120.00
loop_
_atom_site_label
_atom_site_fract_x
_atom_site_fract_y
_atom_site_fract_z
Mn1 0.0000 0.0000 0.0000
Te1 0.3333 0.6667 0.5000
Ru1 0.6667 0.3333 0.5000
# energy relative to the elements, uncorrected = 0.27 eV/atom
# calculated total energy = -6.923 eV per atom
# mass density = 8.9 g/cm³
# energy above the lowest structure with this stoichiometry = 278 meV/atom

No. 5
# Mn4TeRu (PBE, optimized geometry)
data_Mn4TeRu
_chemical_formula_sum 'Mn16 Te4 Ru4'
_symmetry_space_group_name_H-M 'F -4 3 m'
_symmetry_Int_Tables_number 216
_symmetry_space_group_name_Hall 'F -4 2 3'
_cell_length_a 6.923
_cell_length_b 6.923
_cell_length_c 6.923
_cell_angle_alpha 90.00
_cell_angle_beta 90.00
_cell_angle_gamma 90.00
loop_
_atom_site_label
_atom_site_fract_x
_atom_site_fract_y
_atom_site_fract_z
Mn1 0.124 0.124 0.124
Te1 0.000 0.000 0.500
Ru1 0.250 0.250 0.750
# energy relative to the elements, uncorrected = 0.42 eV/atom
# calculated total energy = -7.767 eV per atom
# mass density = 9.0 g/cm³

No. 6
# Mn2TeRu (PBE, optimized geometry)
data_Mn2TeRu
_chemical_formula_sum 'Mn4 Te2 Ru2'
_symmetry_space_group_name_H-M 'I m m 2'
_symmetry_Int_Tables_number 44
_cell_length_a 3.896
_cell_length_b 3.911
_cell_length_c 8.191
_cell_angle_alpha 90.00
_cell_angle_beta 90.00
_cell_angle_gamma 90.00
loop_
_symmetry_equiv_pos_as_xyz
'x,y,z'
'-x,-y,z'
'-x,y,z'
'x,-y,z'
'x+1/2,y+1/2,z+1/2'
'-x+1/2,-y+1/2,z+1/2'
'-x+1/2,y+1/2,z+1/2'
'x+1/2,-y+1/2,z+1/2'
loop_
_atom_site_label
_atom_site_fract_x
_atom_site_fract_y
_atom_site_fract_z
Mn1 0.000 0.000 0.000
Mn2 0.000 0.500 0.250
Te1 0.000 0.500 0.750
Ru1 0.000 0.000 0.500
# energy relative to the elements, uncorrected = 0.26 eV/atom
# calculated total energy = -7.426 eV per atom
# mass density = 9.0 g/cm³

No. 7
# MnTeRu (PBE, optimized geometry)
data_MnTeRu
_chemical_formula_sum 'Mn2 Te2 Ru2'
_symmetry_space_group_name_H-M 'I 4 m m'
_symmetry_Int_Tables_number 107
_symmetry_space_group_name_Hall 'I 4 -2'
_cell_length_a 3.534
_cell_length_b 3.534
_cell_length_c 8.179
_cell_angle_alpha 90.00
_cell_angle_beta 90.00
_cell_angle_gamma 90.00
loop_
_atom_site_label
_atom_site_fract_x
_atom_site_fract_y
_atom_site_fract_z
Mn1 0.000 0.000 0.000
Te1 0.000 0.000 0.677
Ru1 0.000 0.000 0.346
# energy relative to the elements, uncorrected = 0.29 eV/atom
# calculated total energy = -6.906 eV per atom
# mass density = 9.2 g/cm³
# energy above the lowest structure with this stoichiometry = 296 meV/atom

No. 8
# Mn2TeRu (PBE, optimized geometry)
data_Mn2TeRu
_chemical_formula_sum 'Mn6 Te3 Ru3'
_symmetry_space_group_name_H-M 'R 3 m'
_symmetry_Int_Tables_number 160
_symmetry_space_group_name_Hall 'R 3 -2"'
_cell_length_a 3.0464
_cell_length_b 3.0464
_cell_length_c 24.8643
_cell_angle_alpha 90.00
_cell_angle_beta 90.00
_cell_angle_gamma 120.00
loop_
_atom_site_label
_atom_site_fract_x
_atom_site_fract_y
_atom_site_fract_z
Mn1 0.0000 0.0000 0.0000
Mn2 0.0000 0.0000 0.2515
Te1 0.0000 0.0000 0.7567
Ru1 0.0000 0.0000 0.5119
# energy relative to the elements, uncorrected = 0.55 eV/atom
# calculated total energy = -7.144 eV per atom
# mass density = 8.4 g/cm³

No. 9
# Mn2TeRu (PBE, optimized geometry)
data_Mn2TeRu
_chemical_formula_sum 'Mn2 Te1 Ru1'
_symmetry_space_group_name_H-M 'P 4 m m'
_symmetry_Int_Tables_number 99
_cell_length_a 3.152
_cell_length_b 3.152
_cell_length_c 5.983
_cell_angle_alpha 90.00
_cell_angle_beta 90.00
_cell_angle_gamma 90.00
loop_
_symmetry_equiv_pos_as_xyz
'x,y,z'
'-y,x,z'
'-x,-y,z'
'y,-x,z'
'-x,y,z'
'y,x,z'
'x,-y,z'
'-y,-x,z'
loop_
_atom_site_label
_atom_site_fract_x
_atom_site_fract_y
_atom_site_fract_z
Mn1 0.000 0.000 0.000
Mn2 0.500 0.500 0.226
Te1 0.500 0.500 0.751
Ru1 0.000 0.000 0.466
# energy relative to the elements, uncorrected = 0.33 eV/atom
# calculated total energy = -7.360 eV per atom
# mass density = 9.5 g/cm³

No. 10
# MnTeRu4 (PBE, optimized geometry)
data_MnTeRu4
_chemical_formula_sum 'Mn4 Te4 Ru16'
_symmetry_space_group_name_H-M 'F -4 3 m'
_symmetry_Int_Tables_number 216
_symmetry_space_group_name_Hall 'F -4 2 3'
_cell_length_a 7.345
_cell_length_b 7.345
_cell_length_c 7.345
_cell_angle_alpha 90.00
_cell_angle_beta 90.00
_cell_angle_gamma 90.00
loop_
_atom_site_label
_atom_site_fract_x
_atom_site_fract_y
_atom_site_fract_z
Mn1 0.000 0.000 0.000
Te1 0.250 0.250 0.250
Ru1 0.125 0.125 0.625
# energy relative to the elements, uncorrected = 0.60 eV/atom
# calculated total energy = -7.639 eV per atom
# mass density = 9.8 g/cm³

No. 11
# MnTe3Ru (PBE, optimized geometry)
data_MnTe3Ru
_chemical_formula_sum 'Mn1 Te3 Ru1'
_symmetry_space_group_name_H-M 'P m -3 m'
_symmetry_Int_Tables_number 221
_symmetry_space_group_name_Hall '-P 4 2 3'
_cell_length_a 5.213
_cell_length_b 5.213
_cell_length_c 5.213
_cell_angle_alpha 90.00
_cell_angle_beta 90.00
_cell_angle_gamma 90.00
loop_
_atom_site_label
_atom_site_fract_x
_atom_site_fract_y
_atom_site_fract_z
Mn1 0.000 0.000 0.000
Te1 0.000 0.500 0.500
Ru1 0.500 0.500 0.500
# energy relative to the elements, uncorrected = 0.69 eV/atom
# calculated total energy = -4.879 eV per atom
# mass density = 6.3 g/cm³
# energy above the lowest structure with this stoichiometry = 0 meV/atom

No. 12
# Mn2TeRu (PBE, optimized geometry)
data_Mn2TeRu
_chemical_formula_sum 'Mn6 Te3 Ru3'
_symmetry_space_group_name_H-M 'R -3 m'
_symmetry_Int_Tables_number 166
_symmetry_space_group_name_Hall '-R 3 2"'
_cell_length_a 3.1507
_cell_length_b 3.1507
_cell_length_c 24.3089
_cell_angle_alpha 90.00
_cell_angle_beta 90.00
_cell_angle_gamma 120.00
loop_
_atom_site_label
_atom_site_fract_x
_atom_site_fract_y
_atom_site_fract_z
Mn1 0.0000 0.0000 0.2431
Te1 0.0000 0.0000 0.0000
Ru1 0.0000 0.0000 0.5000
# energy relative to the elements, uncorrected = 0.48 eV/atom
# calculated total energy = -7.208 eV per atom
# mass density = 8.1 g/cm³

No. 13
# Mn2TeRu (PBE, optimized geometry)
data_Mn2TeRu
_chemical_formula_sum 'Mn4 Te2 Ru2'
_symmetry_space_group_name_H-M 'I m m m'
_symmetry_Int_Tables_number 71
_symmetry_space_group_name_Hall '-I 2 2'
_cell_length_a 3.950
_cell_length_b 3.962
_cell_length_c 8.171
_cell_angle_alpha 90.00
_cell_angle_beta 90.00
_cell_angle_gamma 90.00
loop_
_atom_site_label
_atom_site_fract_x
_atom_site_fract_y
_atom_site_fract_z
Mn1 0.000 0.000 0.250
Te1 0.000 0.500 0.000
Ru1 0.000 0.500 0.500
# energy relative to the elements, uncorrected = 0.29 eV/atom
# calculated total energy = -7.398 eV per atom
# mass density = 8.8 g/cm³

No. 14
# Th2MnRu (PBE, optimized geometry)
data_Th2MnRu
_chemical_formula_sum 'Th6 Mn3 Ru3'
_symmetry_space_group_name_H-M 'R -3 m'
_symmetry_Int_Tables_number 166
_symmetry_space_group_name_Hall '-R 3 2"'
_cell_length_a 3.8647
_cell_length_b 3.8647
_cell_length_c 27.5052
_cell_angle_alpha 90.00
_cell_angle_beta 90.00
_cell_angle_gamma 120.00
loop_
_atom_site_label
_atom_site_fract_x
_atom_site_fract_y
_atom_site_fract_z
Th1 0.0000 0.0000 0.1059
Mn1 0.0000 0.0000 0.0000
Ru1 0.0000 0.0000 0.5000
# energy relative to the elements = 0.459 eV per atom
# calculated total energy = -7.863 eV per atom
# mass density = 8.7 g/cm³

No. 15
# ThMnRu2 (PBE, optimized geometry)
data_ThMnRu2
_chemical_formula_sum 'Th1 Mn1 Ru2'
_symmetry_space_group_name_H-M 'P 4/m m m'
_symmetry_Int_Tables_number 123
_symmetry_space_group_name_Hall '-P 4 2'
_cell_length_a 4.446
_cell_length_b 4.446
_cell_length_c 3.647
_cell_angle_alpha 90.00
_cell_angle_beta 90.00
_cell_angle_gamma 90.00
loop_
_atom_site_label
_atom_site_fract_x
_atom_site_fract_y
_atom_site_fract_z
Th1 0.000 0.000 0.000
Mn1 0.500 0.500 0.000
Ru1 0.000 0.500 0.500
# energy relative to the elements = -0.083 eV per atom
# calculated total energy = -8.868 eV per atom
# mass density = 11.3 g/cm³

No. 16
# TmThMnRu (PBE, optimized geometry)
data_TmThMnRu
_chemical_formula_sum 'Tm4 Th4 Mn4 Ru4'
_symmetry_space_group_name_H-M 'F -4 3 m'
_symmetry_Int_Tables_number 216
_symmetry_space_group_name_Hall 'F -4 2 3'
_cell_length_a 6.949
_cell_length_b 6.949
_cell_length_c 6.949
_cell_angle_alpha 90.00
_cell_angle_beta 90.00
_cell_angle_gamma 90.00
loop_
_atom_site_label
_atom_site_fract_x
_atom_site_fract_y
_atom_site_fract_z
Tm1 0.000 0.000 0.000
Th1 0.000 0.000 0.500
Mn1 0.250 0.250 0.250
Ru1 0.250 0.250 0.750
# energy relative to the elements = -0.127 eV per atom
# calculated total energy = -7.711 eV per atom
# mass density = 11.0 g/cm³

No. 17
# YThMnRu (PBE, optimized geometry)
data_YThMnRu
_chemical_formula_sum 'Y4 Th4 Mn4 Ru4'
_symmetry_space_group_name_H-M 'F -4 3 m'
_symmetry_Int_Tables_number 216
_symmetry_space_group_name_Hall 'F -4 2 3'
_cell_length_a 7.007
_cell_length_b 7.007
_cell_length_c 7.007
_cell_angle_alpha 90.00
_cell_angle_beta 90.00
_cell_angle_gamma 90.00
loop_
_atom_site_label
_atom_site_fract_x
_atom_site_fract_y
_atom_site_fract_z
Y1 0.000 0.000 0.000
Th1 0.000 0.000 0.500
Mn1 0.250 0.250 0.750
Ru1 0.250 0.250 0.250
# energy relative to the elements = -0.075 eV per atom
# calculated total energy = -8.158 eV per atom
# mass density = 9.2 g/cm³

No. 18
# Ti5Mn4Ru (PBE, optimized geometry)
data_Ti5Mn4Ru
_chemical_formula_sum 'Ti5 Mn4 Ru1'
_symmetry_space_group_name_H-M 'P 4/m m m'
_symmetry_Int_Tables_number 123
_symmetry_space_group_name_Hall '-P 4 2'
_cell_length_a 3.010
_cell_length_b 3.010
_cell_length_c 15.043
_cell_angle_alpha 90.00
_cell_angle_beta 90.00
_cell_angle_gamma 90.00
loop_
_atom_site_label
_atom_site_fract_x
_atom_site_fract_y
_atom_site_fract_z
Ti1 0.000 0.000 0.000
Ti2 0.000 0.000 0.199
Ti3 0.000 0.000 0.395
Mn1 0.500 0.500 0.099
Mn2 0.500 0.500 0.297
Ru1 0.500 0.500 0.500
# energy relative to the elements = -0.351 eV per atom
# calculated total energy = -8.894 eV per atom
# mass density = 6.8 g/cm³

No. 19
# TiMn2Ru (PBE, optimized geometry)
data_TiMn2Ru
_chemical_formula_sum 'Ti4 Mn8 Ru4'
_symmetry_space_group_name_H-M 'F m -3 m'
_symmetry_Int_Tables_number 225
_symmetry_space_group_name_Hall '-F 4 2 3'
_cell_length_a 5.958
_cell_length_b 5.958
_cell_length_c 5.958
_cell_angle_alpha 90.00
_cell_angle_beta 90.00
_cell_angle_gamma 90.00
loop_
_atom_site_label
_atom_site_fract_x
_atom_site_fract_y
_atom_site_fract_z
Ti1 0.000 0.000 0.000
Mn1 0.250 0.250 0.250
Ru1 0.000 0.000 0.500
# energy relative to the elements = -0.041 eV per atom
# calculated total energy = -8.918 eV per atom
# mass density = 8.1 g/cm³
# energy above the lowest structure with this stoichiometry = 0 meV/atom

No. 20
# Ti2Mn2Ru (PBE, optimized geometry)
data_Ti2Mn2Ru
_chemical_formula_sum 'Ti4 Mn4 Ru2'
_symmetry_space_group_name_H-M 'P 4/m b m'
_symmetry_Int_Tables_number 127
_symmetry_space_group_name_Hall '-P 4 2ab'
_cell_length_a 6.694
_cell_length_b 6.694
_cell_length_c 3.085
_cell_angle_alpha 90.00
_cell_angle_beta 90.00
_cell_angle_gamma 90.00
loop_
_atom_site_label
_atom_site_fract_x
_atom_site_fract_y
_atom_site_fract_z
Ti1 0.195 0.305 0.000
Mn1 0.106 0.606 0.500
Ru1 0.000 0.000 0.500
# energy relative to the elements = -0.025 eV per atom
# calculated total energy = -8.706 eV per atom
# mass density = 7.4 g/cm³